This record from Alexandria describes a geometry-optimized GeB2Mo2 structure. The functional is PBE.

Properties
ΔE to the lowest computed polymorph: 217 meV per atom
electronic total energy: -74.77 eV for the cell shown
magnetization: 0.00 μB/cell
N(E_F): 2.2 states/eV/f.u.

Lattice parameters (Å, degrees): 4.2434 4.2434 7.7400 90.00 90.00 90.00
Closest atoms and distances in Å follow each position.
Space group I4/mmm (No. 139)
Asymmetric unit:
Ge 0.0000 0.0000 0.0000 (multiplicity 2)  2 Mo 2.43
B 0.0000 0.5000 0.2500 (multiplicity 4)  4 Mo 2.18
Mo 0.0000 0.0000 0.3145 (multiplicity 4)  4 B 2.18, 1 Ge 2.43